1.
## YMn2Ni (PBE)

Data for a relaxed structure of YMn2Ni.

POSCAR file:
```
YMn2Ni
1.0
6.338 0.000 0.000
0.000 6.338 0.000
0.000 0.000 6.338
Y Mn Ni
4 8 4
direct
0.000 0.000 0.000
0.000 0.500 0.500
0.500 0.000 0.500
0.500 0.500 0.000
0.250 0.250 0.250
0.250 0.250 0.750
0.250 0.750 0.250
0.250 0.750 0.750
0.750 0.250 0.250
0.750 0.250 0.750
0.750 0.750 0.250
0.750 0.750 0.750
0.000 0.000 0.500
0.000 0.500 0.000
0.500 0.000 0.000
0.500 0.500 0.500
```

***

2.
## YMn2Ni6 (PBE)

Data for a relaxed structure of YMn2Ni6.

POSCAR file:
```
YMn2Ni6
1.0
-1.454 3.388 6.257
1.454 -3.388 6.257
1.454 3.388 -6.257
Y Mn Ni
1 2 6
direct
0.000 0.000 0.000
0.357 0.857 0.500
0.643 0.143 0.500
0.009 0.320 0.689
0.332 0.500 0.832
0.369 0.680 0.689
0.631 0.320 0.311
0.668 0.500 0.168
0.991 0.680 0.311
```

***

3.
## YMn2Ni (PBE)

Data for a relaxed structure of YMn2Ni.

POSCAR file:
```
YMn2Ni
1.0
4.174 0.000 0.000
0.000 4.174 0.000
0.000 0.000 17.096
Y Mn Ni
4 8 4
direct
0.000 0.250 0.375
0.000 0.750 0.625
0.500 0.250 0.125
0.500 0.750 0.875
0.000 0.000 0.000
0.000 0.500 0.000
0.250 0.250 0.750
0.250 0.750 0.250
0.500 0.000 0.500
0.500 0.500 0.500
0.750 0.250 0.750
0.750 0.750 0.250
0.000 0.250 0.875
0.000 0.750 0.125
0.500 0.250 0.625
0.500 0.750 0.375
```

***

For reference, V by record: 15.914, 13.702, 18.613 A^3/atom.
For reference, formation energy by record: 1.18, 0.69, 1.78 eV/f.u..